# 1
This record from the Alexandria database describes an optimized crystal structure of K3Rb3Au2. The functional is PBE-GGA.

abc: 12.6326 12.6326 12.6326
angles: 91.48 91.48 88.52
Atoms (fractional coordinates):
K 0.7998 0.6964 0.0084
K 0.8089 0.5117 0.7057
K 0.0084 0.2002 0.6964
K 0.6964 0.9916 0.2002
K 0.9916 0.7998 0.3036
K 0.1911 0.4883 0.2943
K 0.4883 0.7057 0.8089
K 0.2943 0.8089 0.4883
K 0.7057 0.1911 0.5117
K 0.3036 0.0084 0.7998
K 0.5117 0.2943 0.1911
K 0.2002 0.3036 0.9916
Rb 0.8451 0.3187 0.0187
Rb 0.1549 0.6813 0.9813
Rb 0.3519 0.1841 0.4935
Rb 0.1841 0.5065 0.6481
Rb 0.5065 0.3519 0.8159
Rb 0.3187 0.9813 0.1549
Rb 0.6481 0.8159 0.5065
Rb 0.8159 0.4935 0.3519
Rb 0.0187 0.1549 0.3187
Rb 0.9813 0.8451 0.6813
Rb 0.6813 0.0187 0.8451
Rb 0.4935 0.6481 0.1841
Au 0.7609 0.2619 0.7605
Au 0.2391 0.7381 0.2395
Au 0.2619 0.2395 0.2391
Au 0.7381 0.7605 0.7609
Au 0.2395 0.7609 0.7381
Au 0.7404 0.7404 0.2596
Au 0.7605 0.2391 0.2619
Au 0.2596 0.2596 0.7404

Summary:
Energy of formation from the pure elements: -1.0 eV/f.u.

# 2
This record from the Alexandria database describes an optimized crystal structure of K2Rb2Au. The functional is PBE-GGA.

abc: 6.6745 6.9314 6.9314
angles: 90.00 90.00 90.00
Atoms (fractional coordinates):
K 0.5000 0.5000 0.5000
K 0.5000 0.0000 0.0000
Rb 0.0000 0.0000 0.5000
Rb 0.0000 0.5000 0.0000
Au 0.0000 0.0000 0.0000

Summary:
Polymorph energy (0 for the lowest one): 0.0095 eV per atom
Energy of formation from the pure elements: -0.6 eV/f.u.

# 3
This record from the Alexandria database describes an optimized crystal structure of KRb4Au. The functional is PBE-GGA.

abc: 8.2679 12.8323 10.2619
angles: 118.50 99.97 111.56
Atoms (fractional coordinates):
K 0.3528 0.6028 0.2057
K 0.6472 0.3972 0.7943
Rb 0.0407 0.1483 0.8213
Rb 0.7880 0.7355 0.6767
Rb 0.2806 0.6730 0.8213
Rb 0.3887 0.9412 0.6767
Rb 0.6113 0.0588 0.3233
Rb 0.7194 0.3270 0.1787
Rb 0.2120 0.2645 0.3233
Rb 0.9593 0.8517 0.1787
Au 0.2522 0.0022 0.0045
Au 0.7478 0.9978 0.9955

Summary:
Polymorph energy (0 for the lowest one): 0.0153 eV per atom
Energy of formation from the pure elements: -0.5 eV/f.u.

# 4
This record from the Alexandria database describes an optimized crystal structure of KRbAu3. The functional is PBE-GGA.

abc: 6.0204 6.0204 6.0204
angles: 90.00 90.00 90.00
Atoms (fractional coordinates):
K 0.0000 0.0000 0.0000
Au 0.0000 0.5000 0.0000
Au 0.0000 0.0000 0.5000
Au 0.5000 0.0000 0.0000
Rb 0.5000 0.5000 0.5000

Summary:
Polymorph energy (0 for the lowest one): 0.4911 eV per atom
Energy of formation from the pure elements: 1.9 eV/f.u.

# 5
This record from the Alexandria database describes an optimized crystal structure of K2RbAu3. The functional is PBE-GGA.

abc: 11.2300 11.2300 11.2300
angles: 60.00 60.00 60.00
Atoms (fractional coordinates):
K 0.2645 0.2645 0.2645
K 0.2645 0.7066 0.2645
K 0.7066 0.2645 0.2645
K 0.2645 0.2645 0.7066
K 0.7355 0.2934 0.7355
K 0.7355 0.7355 0.7355
K 0.2934 0.7355 0.7355
K 0.7355 0.7355 0.2934
Rb 0.0000 0.0000 0.0000
Rb 0.0000 0.5000 0.0000
Rb 0.5000 0.0000 0.0000
Rb 0.0000 0.0000 0.5000
Au 0.3688 0.3688 0.8812
Au 0.8812 0.8812 0.3688
Au 0.8812 0.3688 0.3688
Au 0.3688 0.8812 0.8812
Au 0.3688 0.8812 0.3688
Au 0.8812 0.3688 0.8812
Au 0.6312 0.1188 0.1188
Au 0.1188 0.6312 0.6312
Au 0.1188 0.1188 0.6312
Au 0.6312 0.6312 0.1188
Au 0.6312 0.1188 0.6312
Au 0.1188 0.6312 0.1188

Summary:
Energy of formation from the pure elements: -1.1 eV/f.u.

# 6
This record from the Alexandria database describes an optimized crystal structure of K7RbAu3. The functional is PBE-GGA.

abc: 9.4604 9.4639 9.1333
angles: 74.92 58.81 60.01
Atoms (fractional coordinates):
K 0.3588 0.9224 0.3599
K 0.2822 0.5885 0.8471
K 0.8619 0.9191 0.3572
K 0.2815 0.0835 0.8534
K 0.7816 0.0835 0.8534
K 0.3563 0.4191 0.3623
K 0.8623 0.4191 0.3623
Rb 0.7743 0.5873 0.8640
Au 0.0720 0.2483 0.6077
Au 0.5698 0.7559 0.6007
Au 0.0736 0.7559 0.6007

Summary:
Polymorph energy (0 for the lowest one): 0.0000 eV per atom
Energy of formation from the pure elements: -1.7 eV/f.u.

# 7
This record from the Alexandria database describes an optimized crystal structure of KRb5Au. The functional is PBE-GGA.

abc: 9.1259 9.1259 12.6427
angles: 96.59 96.59 93.38
Atoms (fractional coordinates):
K 0.5606 0.4394 0.7500
K 0.4394 0.5606 0.2500
Rb 0.3389 0.1811 0.9905
Rb 0.3426 0.8894 0.6167
Rb 0.1811 0.3389 0.4905
Rb 0.8949 0.1051 0.7500
Rb 0.1106 0.6574 0.8833
Rb 0.8894 0.3426 0.1167
Rb 0.1051 0.8949 0.2500
Rb 0.8189 0.6611 0.5095
Rb 0.6574 0.1106 0.3833
Rb 0.6611 0.8189 0.0095
Au 0.0000 0.0000 0.0000
Au 0.0000 0.0000 0.5000

Summary:
Energy of formation from the pure elements: -0.5 eV/f.u.

# 8
This record from the Alexandria database describes an optimized crystal structure of KRbAu2. The functional is PBE-GGA.

abc: 4.9007 4.9007 8.4651
angles: 73.17 73.17 60.00
Atoms (fractional coordinates):
K 0.0000 0.0000 0.0000
Au 0.2542 0.2542 0.2375
Au 0.7458 0.7458 0.7625
Rb 0.5000 0.5000 0.5000

Summary:
Polymorph energy (0 for the lowest one): 0.0476 eV per atom
Energy of formation from the pure elements: -1.0 eV/f.u.

# 9
This record from the Alexandria database describes an optimized crystal structure of K3Rb4Au2. The functional is PBE-GGA.

abc: 4.8497 12.5256 11.3330
angles: 120.48 90.00 101.16
Atoms (fractional coordinates):
K 0.3545 0.7090 0.5495
K 0.0000 0.0000 0.0000
K 0.6455 0.2910 0.4505
Rb 0.7053 0.4106 0.1186
Rb 0.0700 0.1400 0.7130
Rb 0.9300 0.8600 0.2870
Rb 0.2947 0.5894 0.8814
Au 0.3201 0.6402 0.2217
Au 0.6799 0.3598 0.7783

Summary:
Energy of formation from the pure elements: -1.0 eV/f.u.

# 10
This record from the Alexandria database describes an optimized crystal structure of K2RbAu2. The functional is PBE-GGA.

abc: 5.2421 5.2421 8.0212
angles: 70.93 70.93 90.00
Atoms (fractional coordinates):
K 0.7500 0.2500 0.5000
K 0.2500 0.7500 0.5000
Au 0.4015 0.4015 0.1969
Au 0.5985 0.5985 0.8031
Rb 0.0000 0.0000 0.0000

Summary:
Polymorph energy (0 for the lowest one): 0.0290 eV per atom
Energy of formation from the pure elements: -1.1 eV/f.u.

# 11
This record from the Alexandria database describes an optimized crystal structure of K3Rb5Au2. The functional is PBE-GGA.

abc: 9.8404 12.8606 12.8606
angles: 65.18 67.51 67.51
Atoms (fractional coordinates):
K 0.2500 0.0000 0.0000
K 0.7500 0.0000 0.0000
K 0.3722 0.3779 0.8778
K 0.6278 0.6221 0.1222
K 0.8722 0.8778 0.3779
K 0.1278 0.1222 0.6221
Rb 0.2500 0.5000 0.5000
Rb 0.7500 0.5000 0.5000
Rb 0.4959 0.7541 0.7541
Rb 0.0041 0.2459 0.2459
Rb 0.5041 0.2459 0.2459
Rb 0.9959 0.7541 0.7541
Rb 0.1213 0.6386 0.1188
Rb 0.8787 0.3614 0.8812
Rb 0.6213 0.1188 0.6386
Rb 0.3787 0.8812 0.3614
Au 0.1194 0.8922 0.8690
Au 0.8806 0.1078 0.1310
Au 0.6194 0.8690 0.8922
Au 0.3806 0.1310 0.1078

Summary:
Energy of formation from the pure elements: -1.1 eV/f.u.

# 12
This record from the Alexandria database describes an optimized crystal structure of K3Rb2Au3. The functional is PBE-GGA.

abc: 7.4953 9.9894 9.9893
angles: 60.00 90.00 90.00
Atoms (fractional coordinates):
K 0.7500 0.0000 0.2580
K 0.7500 0.2580 0.7420
K 0.7500 0.7420 0.0000
K 0.2500 0.0000 0.7420
K 0.2500 0.7420 0.2580
K 0.2500 0.2580 0.0000
Rb 0.0000 0.3333 0.3333
Rb 0.5000 0.6667 0.6667
Rb 0.0000 0.6667 0.6667
Rb 0.5000 0.3333 0.3333
Au 0.7500 0.0000 0.6079
Au 0.7500 0.6079 0.3921
Au 0.7500 0.3921 0.0000
Au 0.2500 0.0000 0.3921
Au 0.2500 0.3921 0.6079
Au 0.2500 0.6079 0.0000

Summary:
Polymorph energy (0 for the lowest one): 0.0000 eV per atom
Energy of formation from the pure elements: -1.8 eV/f.u.